Record 1
The following is a GGA-PBE calculation of ZnCu2Pt after structural relaxation, from OQMD.

```
ZnCu2Pt
1.0
-3.669 0.194 2.095
-3.408 1.684 -1.854
-3.225 -2.482 -1.150
Cu Pt Zn
2 1 1
Direct
0.000 0.000 0.000
0.750 0.750 0.750
0.500 0.500 0.500
0.250 0.250 0.250
```

ΔH_f (0 K)	-0.24	eV/atom
calculated density	12.0	Mg/m³
symmetry	F-43m

---

Record 2
The following is a GGA-PBE calculation of PuCu after structural relaxation, from OQMD.

```
PuCu
1.0
0.000 2.785 2.785
2.785 0.000 2.785
2.785 2.785 0.000
Cu Pu
1 1
Direct
0.000 0.000 0.000
0.500 0.500 0.500
```

ΔH_f (0 K)	0.37	eV/atom
calculated density	11.8	Mg/m³
symmetry	Fm-3m

---

Record 3
The following is a GGA-PBE calculation of PuCu6 after structural relaxation, from OQMD.

```
PuCu6
1.0
-2.144 -1.486 7.580
-4.498 -1.512 -1.569
3.452 -9.375 -0.861
Cu Pu
24 4
Direct
0.600 0.750 0.017
0.939 0.750 0.094
0.144 0.250 0.144
0.434 0.006 0.191
0.434 0.494 0.191
0.183 0.750 0.244
0.683 0.750 0.256
0.934 0.006 0.309
0.934 0.494 0.309
0.644 0.250 0.356
0.439 0.750 0.406
0.100 0.750 0.483
0.900 0.250 0.517
0.561 0.250 0.594
0.356 0.750 0.644
0.066 0.506 0.691
0.066 0.994 0.691
0.317 0.250 0.744
0.817 0.250 0.756
0.566 0.506 0.809
0.566 0.994 0.809
0.856 0.750 0.856
0.061 0.250 0.906
0.400 0.250 0.983
0.759 0.250 0.065
0.259 0.250 0.435
0.741 0.750 0.565
0.241 0.750 0.935
```

ΔH_f (0 K)	0.26	eV/atom
calculated density	10.3	Mg/m³
symmetry	Pnma

---

Record 4
The following is a GGA-PBE calculation of PuCu after structural relaxation, from OQMD.

```
PuCu
1.0
2.589 0.000 0.000
-1.295 2.242 0.000
0.000 0.000 5.250
Cu Pu
1 1
Direct
0.667 0.333 0.750
0.333 0.667 0.250
```

ΔH_f (0 K)	0.39	eV/atom
calculated density	16.8	Mg/m³
symmetry	P-6m2

---

Which of these has the lowest calculated density? PuCu6

---

Repeat the second record exactly.
The following is a GGA-PBE calculation of PuCu after structural relaxation, from OQMD.

```
PuCu
1.0
0.000 2.785 2.785
2.785 0.000 2.785
2.785 2.785 0.000
Cu Pu
1 1
Direct
0.000 0.000 0.000
0.500 0.500 0.500
```

ΔH_f (0 K)	0.37	eV/atom
calculated density	11.8	Mg/m³
symmetry	Fm-3m

---

What is the ΔH_f (0 K) in the third record? 0.26 eV/atom

---

The highest calculated density belongs to which entry? number 4